# BeCdSO | the Open Quantum Materials Database | GGA-PBE | optimized geometry
# **Raw total energy**: -4.143 eV/atom
# **Offset from the most stable computed form**: 731 meV/atom
data_BeCdSO
_chemical_formula_sum 'Be2 Cd2 S2 O2'
_cell_length_a 4.3452
_cell_length_b 4.3452
_cell_length_c 6.3285
_cell_angle_alpha 90.00
_cell_angle_beta 90.00
_cell_angle_gamma 90.00
_symmetry_space_group_name_H-M 'P 4/n m m'
_symmetry_Int_Tables_number 129
loop_
_symmetry_equiv_pos_as_xyz
'x,y,z'
'-x,-y,-z'
'-y+1/2,x,z'
'y+1/2,-x,-z'
'-x+1/2,-y+1/2,z'
'x+1/2,y+1/2,-z'
'y,-x+1/2,z'
'-y,x+1/2,-z'
'x+1/2,-y,-z'
'-x+1/2,y,z'
'-y,-x,-z'
'y,x,z'
'-x,y+1/2,-z'
'x,-y+1/2,z'
'y+1/2,x+1/2,-z'
'-y+1/2,-x+1/2,z'
loop_
_atom_site_label
_atom_site_fract_x
_atom_site_fract_y
_atom_site_fract_z
_atom_site_occupancy
Be1 0.2500 0.2500 0.1431 1
Cd1 0.2500 0.2500 0.6976 1
S1 0.2500 0.7500 0.0000 1
O1 0.2500 0.2500 0.3734 1

=====

# LaNi5H7 | the Open Quantum Materials Database | GGA-PBE | optimized geometry
# **Magnetization**: 0.8 μB per cell
# **Raw total energy**: -4.576 eV/atom
data_LaNi5H7
_chemical_formula_sum 'La2 Ni10 H14'
_cell_length_a 5.3251
_cell_length_b 5.3251
_cell_length_c 8.5777
_cell_angle_alpha 90.00
_cell_angle_beta 90.00
_cell_angle_gamma 120.00
_symmetry_space_group_name_H-M 'P 3 1 c'
_symmetry_Int_Tables_number 159
_symmetry_space_group_name_Hall 'P 3 -2c'
loop_
_atom_site_label
_atom_site_fract_x
_atom_site_fract_y
_atom_site_fract_z
_atom_site_occupancy
La1 0.0000 0.0000 0.0000 1
Ni1 0.0022 0.5002 0.2333 1
Ni2 0.3333 0.6667 0.4634 1
Ni3 0.3333 0.6667 0.9868 1
H1 0.0119 0.5059 0.5401 1
H2 0.1462 0.8519 0.2528 1
H3 0.3333 0.6667 0.7990 1

=====

# Dy3Mg3AlCdGa | the Open Quantum Materials Database | GGA-PBE | optimized geometry
# **Magnetization**: 0.0 μB per cell
# **Raw total energy**: -3.277 eV/atom
data_Dy3Mg3AlCdGa
_chemical_formula_sum 'Dy3 Mg3 Al1 Cd1 Ga1'
_cell_length_a 7.3965
_cell_length_b 7.3965
_cell_length_c 4.4964
_cell_angle_alpha 90.00
_cell_angle_beta 90.00
_cell_angle_gamma 120.00
_symmetry_space_group_name_H-M 'P -6'
_symmetry_Int_Tables_number 174
_symmetry_space_group_name_Hall 'P -6'
loop_
_atom_site_label
_atom_site_fract_x
_atom_site_fract_y
_atom_site_fract_z
_atom_site_occupancy
Dy1 0.0989 0.7618 0.0000 1
Mg1 0.4200 0.0846 0.5000 1
Al1 0.0000 0.0000 0.5000 1
Cd1 0.6667 0.3333 0.0000 1
Ga1 0.3333 0.6667 0.5000 1

=====

# AgTePt | the Open Quantum Materials Database | GGA-PBE | optimized geometry
# **Magnetization**: 0.0 μB per cell
# **Raw total energy**: -3.888 eV/atom
data_AgTePt
_chemical_formula_sum 'Ag4 Te4 Pt4'
_cell_length_a 6.4527
_cell_length_b 6.4527
_cell_length_c 6.4527
_cell_angle_alpha 90.00
_cell_angle_beta 90.00
_cell_angle_gamma 90.00
_symmetry_space_group_name_H-M 'F -4 3 m'
_symmetry_Int_Tables_number 216
_symmetry_space_group_name_Hall 'F -4 2 3'
loop_
_atom_site_label
_atom_site_fract_x
_atom_site_fract_y
_atom_site_fract_z
_atom_site_occupancy
Ag1 0.0000 0.0000 0.0000 1
Te1 0.2500 0.2500 0.2500 1
Pt1 0.0000 0.0000 0.5000 1

=====

# CsCdFeS3 | the Open Quantum Materials Database | GGA-PBE | optimized geometry
# **Magnetization**: 8.6 μB per cell
# **Raw total energy**: -4.312 eV/atom
# **Offset from the most stable computed form**: 6 meV/atom
data_CsCdFeS3
_chemical_formula_sum 'Cs4 Cd4 Fe4 S12'
_cell_length_a 15.5499
_cell_length_b 3.6226
_cell_length_c 10.9681
_cell_angle_alpha 90.00
_cell_angle_beta 90.00
_cell_angle_gamma 90.00
_symmetry_space_group_name_H-M 'P n m a'
_symmetry_Int_Tables_number 62
_symmetry_space_group_name_Hall '-P 2ac 2n'
loop_
_atom_site_label
_atom_site_fract_x
_atom_site_fract_y
_atom_site_fract_z
_atom_site_occupancy
Cs1 0.2422 0.2500 0.1256 1
Cd1 0.0021 0.7500 0.1242 1
Fe1 0.0202 0.2500 0.3948 1
S1 0.0709 0.2500 0.5835 1
S2 0.0995 0.7500 0.3132 1
S3 0.1066 0.7500 0.9287 1

=====

# Sm2GdCd3AgAu2 | the Open Quantum Materials Database | GGA-PBE | optimized geometry
# **ΔE_f**: -0.5815 eV/atom
# **Magnetization**: 0.0 μB per cell
# **Raw total energy**: -3.484 eV/atom
data_Sm2GdCd3AgAu2
_chemical_formula_sum 'Sm4 Gd2 Cd6 Ag2 Au4'
_cell_length_a 3.9421
_cell_length_b 13.6888
_cell_length_c 7.9206
_cell_angle_alpha 90.00
_cell_angle_beta 90.00
_cell_angle_gamma 90.00
_symmetry_space_group_name_H-M 'A m m 2'
_symmetry_Int_Tables_number 38
_symmetry_space_group_name_Hall 'A 2 -2'
loop_
_atom_site_label
_atom_site_fract_x
_atom_site_fract_y
_atom_site_fract_z
_atom_site_occupancy
Sm1 0.0000 0.2045 0.0000 1
Gd1 0.0000 0.0000 0.3860 1
Cd1 0.5000 0.0000 0.0544 1
Cd2 0.5000 0.1293 0.6654 1
Ag1 0.0000 0.0000 0.7946 1
Au1 0.5000 0.1653 0.2961 1

=====

# Lu2CoSi | the Open Quantum Materials Database | GGA-PBE | optimized geometry
# **Magnetization**: 4.0 μB per cell
# **Raw total energy**: -5.398 eV/atom
data_Lu2CoSi
_chemical_formula_sum 'Lu8 Co4 Si4'
_cell_length_a 6.5718
_cell_length_b 6.5718
_cell_length_c 6.5718
_cell_angle_alpha 90.00
_cell_angle_beta 90.00
_cell_angle_gamma 90.00
_symmetry_space_group_name_H-M 'F -4 3 m'
_symmetry_Int_Tables_number 216
_symmetry_space_group_name_Hall 'F -4 2 3'
loop_
_atom_site_label
_atom_site_fract_x
_atom_site_fract_y
_atom_site_fract_z
_atom_site_occupancy
Lu1 0.0000 0.0000 0.0000 1
Lu2 0.2500 0.2500 0.2500 1
Co1 0.2500 0.2500 0.7500 1
Si1 0.0000 0.0000 0.5000 1

=====

# PrEr2Mg3Al2Cd | the Open Quantum Materials Database | GGA-PBE | optimized geometry
# **Magnetization**: 0.0 μB per cell
# **Raw total energy**: -3.297 eV/atom
data_PrEr2Mg3Al2Cd
_chemical_formula_sum 'Pr2 Er4 Mg6 Al4 Cd2'
_cell_length_a 4.5986
_cell_length_b 13.0555
_cell_length_c 7.3592
_cell_angle_alpha 90.00
_cell_angle_beta 90.00
_cell_angle_gamma 90.00
_symmetry_space_group_name_H-M 'A m m 2'
_symmetry_Int_Tables_number 38
_symmetry_space_group_name_Hall 'A 2 -2'
loop_
_atom_site_label
_atom_site_fract_x
_atom_site_fract_y
_atom_site_fract_z
_atom_site_occupancy
Pr1 0.0000 0.0000 0.0000 1
Er1 0.0000 0.2152 0.6409 1
Mg1 0.5000 0.0000 0.6753 1
Mg2 0.5000 0.1222 0.3073 1
Al1 0.5000 0.1706 0.9256 1
Cd1 0.0000 0.0000 0.4404 1

=====

# NbCuAgBi | the Open Quantum Materials Database | GGA-PBE | optimized geometry
# **Magnetization**: 7.1 μB per cell
# **Raw total energy**: -4.688 eV/atom
# **Offset from the most stable computed form**: 0 meV/atom
data_NbCuAgBi
_chemical_formula_sum 'Nb4 Cu4 Ag4 Bi4'
_cell_length_a 6.7654
_cell_length_b 6.7654
_cell_length_c 6.7654
_cell_angle_alpha 90.00
_cell_angle_beta 90.00
_cell_angle_gamma 90.00
_symmetry_space_group_name_H-M 'F -4 3 m'
_symmetry_Int_Tables_number 216
_symmetry_space_group_name_Hall 'F -4 2 3'
loop_
_atom_site_label
_atom_site_fract_x
_atom_site_fract_y
_atom_site_fract_z
_atom_site_occupancy
Nb1 0.0000 0.0000 0.0000 1
Cu1 0.0000 0.0000 0.5000 1
Ag1 0.2500 0.2500 0.2500 1
Bi1 0.2500 0.2500 0.7500 1

=====

# DyZnNi | the Open Quantum Materials Database | GGA-PBE | optimized geometry
# **ΔE_f**: -0.4694 eV/atom
# **Magnetization**: 0.0 μB per cell
# **Raw total energy**: -4.281 eV/atom
data_DyZnNi
_chemical_formula_sum 'Dy4 Zn4 Ni4'
_cell_length_a 6.7749
_cell_length_b 3.9473
_cell_length_c 7.9511
_cell_angle_alpha 90.00
_cell_angle_beta 90.00
_cell_angle_gamma 90.00
_symmetry_space_group_name_H-M 'P n m a'
_symmetry_Int_Tables_number 62
_symmetry_space_group_name_Hall '-P 2ac 2n'
loop_
_atom_site_label
_atom_site_fract_x
_atom_site_fract_y
_atom_site_fract_z
_atom_site_occupancy
Dy1 0.0406 0.2500 0.1858 1
Zn1 0.1395 0.2500 0.5610 1
Ni1 0.2426 0.7500 0.3766 1

=====

# Nd2Ag3Au | the Open Quantum Materials Database | GGA-PBE | optimized geometry
# **ΔE_f**: -0.4191 eV/atom
# **Magnetization**: 0.0 μB per cell
# **Raw total energy**: -3.963 eV/atom
data_Nd2Ag3Au
_chemical_formula_sum 'Nd4 Ag6 Au2'
_cell_length_a 10.8508
_cell_length_b 4.7879
_cell_length_c 7.0973
_cell_angle_alpha 90.00
_cell_angle_beta 130.53
_cell_angle_gamma 90.00
_symmetry_space_group_name_H-M 'C 1 m 1'
_symmetry_Int_Tables_number 8
_symmetry_space_group_name_Hall 'C -2y'
loop_
_atom_site_label
_atom_site_fract_x
_atom_site_fract_y
_atom_site_fract_z
_atom_site_occupancy
Nd1 0.0000 0.0000 0.0000 1
Nd2 0.0708 0.0000 0.5731 1
Ag1 0.2008 0.5000 0.4099 1
Ag2 0.3677 0.0000 0.5791 1
Ag3 0.3722 0.0000 0.1619 1
Au1 0.1999 0.5000 0.9813 1